This record from Alexandria describes crystalline KNa2AgPb at its relaxed geometry. The functional is PBE.

Summary:
- raw total energy (eV/cell) = -10.13
- D(E_F) (states/eV per cell) = 1.33
- E above lowest polymorph (kJ/mol of formula units) = 18
- DFT formation energy (eV/atom) = 0.03

a = 5.9979 Å, b = 5.9979 Å, c = 5.5000 Å
α = 90.00°, β = 90.00°, γ = 90.00°
Closest atoms and distances in Å follow each position.
Fractional positions:
K  0.0000  0.0000  0.0000  8 Na 4.07, 4 Ag 4.24
Na  0.0000  0.5000  0.5000  2 Pb 3.00
Na  0.5000  0.0000  0.5000  2 Pb 3.00
Ag  0.5000  0.5000  0.0000  2 Pb 2.75
Pb  0.5000  0.5000  0.5000  2 Ag 2.75, 4 Na 3.00